1.
Material: Ba2ZnPt3
Method: DFT, PBE
State: relaxed

Distance to the lowest polymorph of the same formula (eV/atom): 0.000
ΔE_f (eV/atom): -0.671
Volume (Å³/atom): 26.8
Calculated total energy (eV for the cell shown): -27.27
Fermi-level density of states (states/eV/f.u.): 3.3
SG: Pmm2 (25)

abc: 4.4803 4.6031 7.7982
angles: 90.00 90.00 90.00
Last column: nearest neighbours and their distance in Å.
Fractional positions:
Ba  0.0000  0.0000  0.0000  10 Pt 3.43-3.52, 2 Zn 3.55
Ba  0.5000  0.0000  0.4752  8 Pt 3.41-3.52, 4 Zn 3.50
Zn  0.0000  0.5000  0.6536  3 Pt 2.54-2.58
Pt  0.0000  0.5000  0.3282  1 Zn 2.54, 2 Pt 2.62
Pt  0.5000  0.5000  0.1533  3 Pt 2.62
Pt  0.5000  0.5000  0.8167  2 Zn 2.58, 1 Pt 2.62

2.
Material: BaZnPt2
Method: DFT, PBE
State: relaxed

ΔE_f (eV/atom): -0.191
Volume (Å³/atom): 22.1
Calculated total energy (eV for the cell shown): -16.04
Fermi-level density of states (states/eV/f.u.): 3.1
SG: P4mm (99)

abc: 3.5373 3.5373 7.0520
angles: 90.00 90.00 90.00
Last column: nearest neighbours and their distance in Å.
Fractional positions:
Ba  0.0000  0.0000  0.0000  5 Pt 3.17-3.43, 4 Ba 3.54
Zn  0.5000  0.5000  0.6311  5 Pt 2.50-2.63
Pt  0.0000  0.0000  0.5141  4 Zn 2.63
Pt  0.5000  0.5000  0.2762  1 Zn 2.50